1.
NaMn3Pt: relaxed, PBE.

Lattice parameters (Å, degrees): 4.171 4.171 4.171 90.00 90.00 90.00
Space group Pm-3m (No. 221)
Symmetry-distinct sites (fractional):
Na 0.000 0.000 0.000 (multiplicity 1)
Mn 0.000 0.000 0.500 (multiplicity 3)
Pt 0.500 0.500 0.500 (multiplicity 1)

Computed properties:
* formation energy: 2400.3 meV/atom
* ΔE to the lowest computed polymorph: 9.125 eV per formula unit

***

2.
Na3MnPt: relaxed, PBE.

Lattice parameters (Å, degrees): 5.434 5.434 5.434 90.00 90.00 90.00
Space group Pm-3m (No. 221)
Symmetry-distinct sites (fractional):
Na 0.000 0.000 0.500 (multiplicity 3)
Mn 0.500 0.500 0.500 (multiplicity 1)
Pt 0.000 0.000 0.000 (multiplicity 1)

Computed properties:
* formation energy: 607.0 meV/atom
* ΔE to the lowest computed polymorph: 0.000 eV per formula unit

***

3.
NaMn4Pt5: relaxed, PBE.

Lattice parameters (Å, degrees): 2.900 3.574 15.165 90.00 90.00 90.00
Space group Pmmm (No. 47)
Symmetry-distinct sites (fractional):
Na 0.000 0.000 0.000 (multiplicity 1)
Mn 0.000 0.000 0.213 (multiplicity 2)
Mn 0.000 0.000 0.403 (multiplicity 2)
Pt 0.500 0.500 0.123 (multiplicity 2)
Pt 0.500 0.500 0.311 (multiplicity 2)
Pt 0.500 0.500 0.500 (multiplicity 1)

Computed properties:
* formation energy: -311.5 meV/atom

***

4.
NaMnPt3: relaxed, PBE.

Lattice parameters (Å, degrees): 4.630 4.630 4.630 90.00 90.00 90.00
Space group Pm-3m (No. 221)
Symmetry-distinct sites (fractional):
Na 0.000 0.000 0.000 (multiplicity 1)
Mn 0.500 0.500 0.500 (multiplicity 1)
Pt 0.000 0.500 0.500 (multiplicity 3)

Computed properties:
* formation energy: 589.9 meV/atom
* ΔE to the lowest computed polymorph: 0.000 eV per formula unit

***

5.
Na2MnSn4Pt3: relaxed, PBE.

Lattice parameters (Å, degrees): 4.553 4.553 11.100 90.00 90.00 90.00
Space group P-4m2 (No. 115)
Symmetry-distinct sites (fractional):
Na 0.000 0.500 0.237 (multiplicity 2)
Mn 0.500 0.500 0.000 (multiplicity 1)
Sn 0.000 0.000 0.500 (multiplicity 1)
Sn 0.000 0.500 0.869 (multiplicity 2)
Sn 0.500 0.500 0.500 (multiplicity 1)
Pt 0.000 0.000 0.000 (multiplicity 1)
Pt 0.000 0.500 0.630 (multiplicity 2)

Computed properties:
* formation energy: -307.9 meV/atom

***

6.
NaMnSnPt: relaxed, PBE.

Lattice parameters (Å, degrees): 6.577 6.577 6.577 90.00 90.00 90.00
Space group F-43m (No. 216)
Symmetry-distinct sites (fractional):
Na 0.000 0.000 0.000 (multiplicity 4)
Mn 0.250 0.250 0.750 (multiplicity 4)
Sn 0.250 0.250 0.250 (multiplicity 4)
Pt 0.000 0.000 0.500 (multiplicity 4)

Computed properties:
* formation energy: -170.2 meV/atom

***

7.
NaYMn2Pt: relaxed, PBE.

Lattice parameters (Å, degrees): 5.084 5.084 5.268 90.00 90.00 90.00
Space group P4/mmm (No. 123)
Symmetry-distinct sites (fractional):
Na 0.000 0.000 0.000 (multiplicity 1)
Y 0.500 0.500 0.000 (multiplicity 1)
Mn 0.000 0.500 0.500 (multiplicity 2)
Pt 0.500 0.500 0.500 (multiplicity 1)

Computed properties:
* formation energy: 252.4 meV/atom

***

8.
Na2PuMnS4: relaxed, PBE.

Lattice parameters (Å, degrees): 6.599 3.894 6.992 90.00 108.78 90.00
Space group P2/m (No. 10)
Symmetry-distinct sites (fractional):
Na 0.000 0.000 0.000 (multiplicity 1)
Na 0.500 0.500 0.000 (multiplicity 1)
Pu 0.000 0.500 0.500 (multiplicity 1)
Mn 0.500 0.000 0.500 (multiplicity 1)
S 0.251 0.000 0.723 (multiplicity 2)
S 0.275 0.500 0.289 (multiplicity 2)

Computed properties:
* raw formation energy: -1162 meV/atom

***

In μB/atom, the spin magnetization values for the records above are, in order, 0.18 0.88 0.02 0.00 0.33 1.03 1.73 1.12.
In states/eV/f.u., the Fermi-level density of states values for the records above are, in order, 16.18 4.56 4.54 6.32 7.34 1.22 3.84 7.65.